This record from Alexandria describes TiVCuO4 after structural relaxation. The functional is PBE+U. Values from VASP.

Structure (Quantum ESPRESSO input):
```
&SYSTEM
  ibrav = 0, nat = 14, ntyp = 4
/
ATOMIC_SPECIES
Cu 63.55 Cu.upf
V 50.94 V.upf
Ti 47.87 Ti.upf
O 16.00 O.upf
ATOMIC_POSITIONS crystal
Cu 0.000 0.500 0.500
V 0.146 0.293 0.896
Ti 0.500 0.000 0.500
O 0.251 0.967 0.233
O 0.723 0.445 0.232
O 0.277 0.555 0.768
V 0.854 0.707 0.104
O 0.749 0.033 0.767
O 0.277 0.555 0.287
O 0.716 0.967 0.233
O 0.284 0.033 0.767
O 0.723 0.445 0.713
Ti 0.500 0.000 0.000
Cu 0.500 0.500 0.500
CELL_PARAMETERS angstrom
5.914 0.000 0.000
-2.957 5.391 -0.203
0.000 -3.091 5.083
```

Computed properties:
E in eV per cell: -105.2
V in Å³ per cell: 158.35
D(E_F) in states/eV per cell: 4.9